First-principles (PBE) data for a relaxed structure of Ce4NdPa3N8, as listed in the Alexandria database.

a = 7.109 Å, b = 7.110 Å, c = 7.110 Å
α = 120.00°, β = 120.00°, γ = 90.00°
Element x y z (fractional)
Ce (0.500, 0.000, 0.000)
Ce (0.500, 0.000, 0.500)
Ce (0.000, 0.000, 0.000)
Ce (0.000, 0.000, 0.500)
Nd (0.000, 0.500, 0.000)
Pa (0.500, 0.500, 0.000)
Pa (0.500, 0.500, 0.500)
Pa (0.000, 0.500, 0.500)
N (0.254, 0.732, 0.978)
N (0.254, 0.732, 0.507)
N (0.259, 0.276, 0.517)
N (0.725, 0.732, 0.978)
N (0.275, 0.268, 0.022)
N (0.741, 0.724, 0.483)
N (0.746, 0.268, 0.493)
N (0.746, 0.268, 0.022)

Properties
Symmetry: R-3m
ρ, kg/m³: 9867
E_tot, eV per atom: -9.300
Crystal system: trigonal